The following is a DFT calculation (SCAN) of a PBEsol-optimized structure of Ti2BiB.

Unit cell a=4.5015 b=4.5015 c=4.5015 alpha=60.00 beta=60.00 gamma=60.00
Sites, in units of the cell vectors:
Ti 0.2500 0.2500 0.2500
Ti 0.7500 0.7500 0.7500
Bi 0.0000 0.0000 0.0000
B 0.5000 0.5000 0.5000

Energy of formation (eV per atom): 0.541
Magnetic moment (μB/f.u.): 0.0
Fermi-level density of states (states/eV/cell): 6.31



The following is a DFT calculation (SCAN) of a PBEsol-optimized structure of SrCaIn4.

Unit cell a=6.1163 b=6.1163 c=6.1163 alpha=60.00 beta=60.00 gamma=60.00
Sites, in units of the cell vectors:
Sr 0.0000 0.0000 0.0000
Ca 0.2500 0.2500 0.2500
In 0.1255 0.6248 0.6248
In 0.6248 0.1255 0.6248
In 0.6248 0.6248 0.1255
In 0.6248 0.6248 0.6248

Energy of formation (eV per atom): -0.507
Magnetic moment (μB/f.u.): 0.0
Fermi-level density of states (states/eV/cell): 2.37



The following is a DFT calculation (SCAN) of a PBEsol-optimized structure of Sc2Be2As.

Unit cell a=6.1144 b=6.1144 c=3.9718 alpha=90.00 beta=90.00 gamma=90.00
Sites, in units of the cell vectors:
Sc 0.1690 0.3310 0.0000
Sc 0.3310 0.8310 0.0000
Sc 0.6690 0.1690 0.0000
Sc 0.8310 0.6690 0.0000
Be 0.1224 0.6224 0.5000
Be 0.3776 0.1224 0.5000
Be 0.6224 0.8776 0.5000
Be 0.8776 0.3776 0.5000
As 0.0000 0.0000 0.5000
As 0.5000 0.5000 0.5000

Energy of formation (eV per atom): -0.461
Magnetic moment (μB/f.u.): 0.0
Fermi-level density of states (states/eV/cell): 3.78



The following is a DFT calculation (SCAN) of a PBEsol-optimized structure of NaAsH4O5.

Unit cell a=5.0852 b=8.3933 c=10.3576 alpha=90.00 beta=90.00 gamma=90.00
Sites, in units of the cell vectors:
Na 0.0690 0.1001 0.0858
Na 0.4310 0.8999 0.5858
Na 0.5690 0.3999 0.9142
Na 0.9310 0.6001 0.4142
As 0.0829 0.3035 0.6610
As 0.4171 0.6965 0.1610
As 0.5829 0.1965 0.3390
As 0.9171 0.8035 0.8390
H 0.0190 0.5103 0.8016
H 0.0536 0.4576 0.0530
H 0.1432 0.8862 0.3441
H 0.1872 0.2785 0.4060
H 0.3128 0.7215 0.9060
H 0.3568 0.1138 0.8441
H 0.4464 0.5424 0.5530
H 0.4810 0.4897 0.3016
H 0.5190 0.9897 0.1984
H 0.5536 0.0424 0.9470
H 0.6432 0.6138 0.6559
H 0.6872 0.2215 0.5940
H 0.8128 0.7785 0.0940
H 0.8568 0.3862 0.1559
H 0.9464 0.9576 0.4470
H 0.9810 0.0103 0.6984
O 0.0750 0.8701 0.4334
O 0.1656 0.4201 0.7926
O 0.1845 0.3917 0.5227
O 0.2014 0.1175 0.6885
O 0.2400 0.2043 0.3296
O 0.2600 0.7957 0.8296
O 0.2986 0.8825 0.1885
O 0.3155 0.6083 0.0227
O 0.3344 0.5799 0.2926
O 0.4250 0.1299 0.9334
O 0.5750 0.6299 0.5666
O 0.6656 0.0799 0.2074
O 0.6845 0.1083 0.4773
O 0.7014 0.3825 0.3115
O 0.7400 0.2957 0.6704
O 0.7600 0.7043 0.1704
O 0.7986 0.6175 0.8115
O 0.8155 0.8917 0.9773
O 0.8344 0.9201 0.7074
O 0.9250 0.3701 0.0666

Magnetic moment (μB/f.u.): 0.0
Fermi-level density of states (states/eV/cell): 0.00
Raw total energy (eV per cell): -336.00